# Li5CdBi2

A geometry-optimized Li5CdBi2 structure (PBE, Alexandria).

Cell lengths 4.8851, 4.8851, 18.4816 Å; angles 90.00, 90.00, 120.00 degrees
Last column: nearest neighbours and their distance in Å.
Positions (direct):
1 Li 0.0000 0.0000 0.1485  3 Bi 2.97, 3 Li 3.22
2 Li 0.0000 0.0000 0.3515  3 Bi 2.97, 3 Li 3.22
3 Li 0.0000 0.0000 0.6485  3 Bi 2.97, 3 Li 3.22
4 Li 0.0000 0.0000 0.8515  3 Bi 2.97, 3 Li 3.22
5 Li 0.3333 0.6667 0.0646  4 Bi 2.89-3.01, 3 Li 3.22
6 Li 0.3333 0.6667 0.2500  3 Cd 2.82
7 Li 0.3333 0.6667 0.4354  4 Bi 2.89-3.01, 3 Li 3.22
8 Li 0.6667 0.3333 0.5646  4 Bi 2.89-3.01, 3 Li 3.22
9 Li 0.6667 0.3333 0.7500  3 Cd 2.82
10 Li 0.6667 0.3333 0.9354  4 Bi 2.89-3.01, 3 Li 3.22
11 Cd 0.3333 0.6667 0.7500  2 Bi 2.80, 3 Li 2.82
12 Cd 0.6667 0.3333 0.2500  2 Bi 2.80, 3 Li 2.82
13 Bi 0.3333 0.6667 0.5985  1 Cd 2.80, 7 Li 2.89-3.01
14 Bi 0.3333 0.6667 0.9015  1 Cd 2.80, 7 Li 2.89-3.01
15 Bi 0.6667 0.3333 0.0985  1 Cd 2.80, 7 Li 2.89-3.01
16 Bi 0.6667 0.3333 0.4015  1 Cd 2.80, 7 Li 2.89-3.01

ΔH_f (0 K)   -0.300 eV per atom
Space group   P6_3/mmc



# Cs2KReO6

A geometry-optimized Cs2KReO6 structure (PBE, Alexandria).

Cell lengths 6.7146, 6.7146, 6.7825 Å; angles 90.00, 90.00, 120.00 degrees
Last column: nearest neighbours and their distance in Å.
Positions (direct):
1 Cs 0.3333 0.6667 0.1340  9 O 3.08-3.39
2 Cs 0.6667 0.3333 0.8660  9 O 3.08-3.39
3 K 0.0000 0.0000 0.5000  6 O 2.76
4 Re 0.0000 0.0000 0.0000  6 O 1.89
5 O 0.1322 0.2645 0.8377  1 Re 1.89
6 O 0.1322 0.8678 0.8377  1 Re 1.89
7 O 0.2645 0.1322 0.1623  1 Re 1.89
8 O 0.7355 0.8678 0.8377  1 Re 1.89
9 O 0.8678 0.1322 0.1623  1 Re 1.89
10 O 0.8678 0.7355 0.1623  1 Re 1.89

Uncorrected formation energy   -13.674 eV per formula unit
Space group   P-3m1



# ErHfGaPt

A geometry-optimized ErHfGaPt structure (PBE, Alexandria).

Cell lengths 4.8364, 4.8364, 4.8364 Å; angles 60.00, 60.00, 60.00 degrees
Last column: nearest neighbours and their distance in Å.
Positions (direct):
1 Er 0.0000 0.0000 0.0000  4 Pt 2.96, 4 Ga 2.96
2 Hf 0.5000 0.5000 0.5000  4 Pt 2.96, 4 Ga 2.96
3 Ga 0.2500 0.2500 0.2500  4 Hf 2.96, 4 Er 2.96
4 Pt 0.7500 0.7500 0.7500  4 Er 2.96, 4 Hf 2.96

ΔH_f (0 K)   -0.696 eV per atom
Space group   F-43m



# PrTh3Ir8

A geometry-optimized PrTh3Ir8 structure (PBE, Alexandria).

Cell lengths 9.4486, 9.4486, 9.4486 Å; angles 33.56, 33.56, 33.56 degrees
Last column: nearest neighbours and their distance in Å.
Positions (direct):
1 Pr 0.0000 0.0000 0.0000  12 Ir 3.19-3.22, 4 Th 3.32
2 Th 0.1243 0.1243 0.1243  12 Ir 3.17-3.21, 1 Pr 3.32, 3 Th 3.37
3 Th 0.5020 0.5020 0.5020  12 Ir 3.17-3.20, 4 Th 3.36-3.37
4 Th 0.6276 0.6276 0.6276  12 Ir 3.18-3.23, 3 Pr 3.32, 1 Th 3.36
5 Ir 0.0635 0.0635 0.5609  6 Ir 2.71-2.74
6 Ir 0.0635 0.5609 0.0635  6 Ir 2.71-2.74
7 Ir 0.0663 0.5629 0.5629  6 Ir 2.71-2.75
8 Ir 0.3134 0.3134 0.3134  6 Ir 2.73-2.74
9 Ir 0.5609 0.0635 0.0635  6 Ir 2.71-2.74
10 Ir 0.5629 0.0663 0.5629  6 Ir 2.71-2.75
11 Ir 0.5629 0.5629 0.0663  6 Ir 2.71-2.75
12 Ir 0.8133 0.8133 0.8133  6 Ir 2.72

ΔH_f (0 K)   -0.779 eV per atom
Space group   R3m



# CeY3Ho3Se8

A geometry-optimized CeY3Ho3Se8 structure (PBE, Alexandria).

Cell lengths 8.1343, 8.1343, 8.1343 Å; angles 60.07, 60.07, 60.07 degrees
Last column: nearest neighbours and their distance in Å.
Positions (direct):
1 Ce 0.0000 0.0000 0.0000  6 Se 2.98
2 Y 0.0000 0.0000 0.5000  6 Se 2.89
3 Y 0.0000 0.5000 0.0000  6 Se 2.89
4 Y 0.5000 0.0000 0.0000  6 Se 2.89
5 Ho 0.0000 0.5000 0.5000  6 Se 2.87
6 Ho 0.5000 0.0000 0.5000  6 Se 2.87
7 Ho 0.5000 0.5000 0.0000  6 Se 2.87
8 Se 0.2509 0.2509 0.2509  3 Ho 2.87, 3 Y 2.89
9 Se 0.2593 0.2593 0.7386  2 Ho 2.87, 2 Y 2.89, 1 Ce 2.98
10 Se 0.2593 0.7386 0.2593  2 Ho 2.87, 2 Y 2.89, 1 Ce 2.98
11 Se 0.2614 0.7407 0.7407  2 Ho 2.87, 2 Y 2.89, 1 Ce 2.98
12 Se 0.7386 0.2593 0.2593  2 Ho 2.87, 2 Y 2.89, 1 Ce 2.98
13 Se 0.7407 0.2614 0.7407  2 Ho 2.87, 2 Y 2.89, 1 Ce 2.98
14 Se 0.7407 0.7407 0.2614  2 Ho 2.87, 2 Y 2.89, 1 Ce 2.98
15 Se 0.7491 0.7491 0.7491  3 Ho 2.87, 3 Y 2.89

Uncorrected formation energy   -27.062 eV per formula unit
Space group   R-3m



# ZrCo2Rh

A geometry-optimized ZrCo2Rh structure (PBE, Alexandria).

Cell lengths 4.7839, 4.7839, 4.7839 Å; angles 133.12, 133.12, 68.47 degrees
Last column: nearest neighbours and their distance in Å.
Positions (direct):
1 Zr 0.0000 0.0000 0.0000  4 Rh 2.69, 8 Co 2.74
2 Co 0.2500 0.7500 0.5000  4 Co 2.69, 4 Rh 2.74, 4 Zr 2.74
3 Co 0.7500 0.2500 0.5000  4 Co 2.69, 4 Rh 2.74, 4 Zr 2.74
4 Rh 0.5000 0.5000 0.0000  4 Zr 2.69, 8 Co 2.74

ΔH_f (0 K)   -0.239 eV per atom
Space group   I4/mmm



# Sc3Zn3Co2

A geometry-optimized Sc3Zn3Co2 structure (PBE, Alexandria).

Cell lengths 6.8143, 6.8143, 3.3029 Å; angles 90.00, 90.00, 120.00 degrees
Last column: nearest neighbours and their distance in Å.
Positions (direct):
1 Sc 0.0000 0.4184 0.0000  4 Co 2.63, 2 Zn 2.89
2 Sc 0.4184 0.0000 0.0000  4 Co 2.63, 2 Zn 2.89
3 Sc 0.5816 0.5816 0.0000  4 Co 2.63, 2 Zn 2.89
4 Zn 0.0000 0.7660 0.5000  2 Co 2.68, 2 Zn 2.76, 6 Sc 2.89-2.98
5 Zn 0.2340 0.2340 0.5000  2 Co 2.68, 2 Zn 2.76, 6 Sc 2.89-2.98
6 Zn 0.7660 0.0000 0.5000  2 Co 2.68, 2 Zn 2.76, 6 Sc 2.89-2.98
7 Co 0.3333 0.6667 0.5000  6 Sc 2.63, 3 Zn 2.68
8 Co 0.6667 0.3333 0.5000  6 Sc 2.63, 3 Zn 2.68

ΔH_f (0 K)   -0.318 eV per atom
Space group   P-62m



# ZrTlSb2

A geometry-optimized ZrTlSb2 structure (PBE, Alexandria).

Cell lengths 3.3708, 3.3708, 9.4979 Å; angles 90.00, 90.00, 90.00 degrees
Last column: nearest neighbours and their distance in Å.
Positions (direct):
1 Zr 0.0000 0.0000 0.0000  8 Sb 3.13, 4 Zr 3.37
2 Tl 0.0000 0.0000 0.5000  4 Tl 3.37, 8 Sb 3.61
3 Sb 0.5000 0.5000 0.2141  4 Zr 3.13, 4 Sb 3.37
4 Sb 0.5000 0.5000 0.7859  4 Zr 3.13, 4 Sb 3.37

Uncorrected formation energy   -0.961 eV per formula unit
Space group   P4/mmm



Total magnetic moment for every record listed, in sequence, given in μB per formula unit: 0.0, 2.0, 0.0, 0.0, 1.4, 2.9, 0.0, 0.0.